Record 1
TaMo2: single point on PBEsol structure, meta-GGA SCAN.

Structure (POSCAR):
```
TaMo2
1.0
3.165 0.000 0.000
0.000 3.165 0.000
-1.583 -1.583 4.776
Mo Ta
2 1
direct
0.330 0.330 0.659 Mo
0.670 0.670 0.341 Mo
0.000 0.000 0.000 Ta
```

- D(E_F): 1.03 states/eV per cell
- Volume: 15.9 Å³ per atom
- E: -45.64 eV/atom

***

Record 2
Ta2Mo: single point on PBEsol structure, meta-GGA SCAN.

Structure (POSCAR):
```
Ta2Mo
1.0
4.561 0.000 0.000
-2.280 3.950 0.000
0.000 0.000 5.565
Mo Ta
2 4
direct
0.667 0.333 0.330 Mo
0.333 0.667 0.670 Mo
0.000 0.000 0.500 Ta
0.667 0.333 0.826 Ta
0.000 0.000 0.000 Ta
0.333 0.667 0.174 Ta
```

- D(E_F): 6.52 states/eV per cell
- Volume: 16.7 Å³ per atom
- Energy above the most stable polymorph in this dataset: 43 meV per atom
- E: -56.14 eV/atom

***

Record 3
Ta3Mo: single point on PBEsol structure, meta-GGA SCAN.

Structure (POSCAR):
```
Ta3Mo
1.0
6.474 -0.002 0.000
0.108 6.473 0.000
-0.019 -0.019 6.473
Mo Ta
4 12
direct
0.000 0.000 0.000 Mo
0.000 0.000 0.502 Mo
0.250 0.250 0.749 Mo
0.501 0.501 0.500 Mo
0.005 0.495 0.997 Ta
0.005 0.496 0.503 Ta
0.246 0.753 0.252 Ta
0.246 0.754 0.747 Ta
0.248 0.248 0.253 Ta
0.495 0.005 0.997 Ta
0.496 0.005 0.503 Ta
0.498 0.498 0.997 Ta
0.751 0.751 0.252 Ta
0.752 0.752 0.747 Ta
0.753 0.246 0.252 Ta
0.754 0.246 0.747 Ta
```

- D(E_F): 18.33 states/eV per cell
- Volume: 17.0 Å³ per atom
- Energy above the most stable polymorph in this dataset: 45 meV per atom
- E: -58.73 eV/atom

***

Record 4
TaMo7: single point on PBEsol structure, meta-GGA SCAN.

Structure (POSCAR):
```
TaMo7
1.0
3.143 0.000 0.000
0.000 4.445 0.000
0.000 0.000 8.894
Mo Ta
7 1
direct
0.000 0.000 0.752 Mo
0.500 0.000 0.000 Mo
0.000 0.000 0.248 Mo
0.500 0.000 0.500 Mo
0.500 0.500 0.755 Mo
0.000 0.500 0.000 Mo
0.500 0.500 0.245 Mo
0.000 0.500 0.500 Ta
```

- D(E_F): 4.13 states/eV per cell
- Volume: 15.5 Å³ per atom
- Energy above the most stable polymorph in this dataset: 4 meV per atom
- E: -38.92 eV/atom

***

Record 5
Ta2Mo5: single point on PBEsol structure, meta-GGA SCAN.

Structure (POSCAR):
```
Ta2Mo5
1.0
-1.093 0.643 4.304
-0.010 -3.463 2.853
5.742 0.182 3.770
Mo Ta
5 2
direct
0.428 0.428 0.717 Mo
0.713 0.713 0.860 Mo
0.000 0.000 0.000 Mo
0.287 0.287 0.140 Mo
0.572 0.572 0.283 Mo
0.859 0.859 0.424 Ta
0.141 0.141 0.576 Ta
```

- D(E_F): 3.39 states/eV per cell
- Volume: 15.9 Å³ per atom
- Energy above the most stable polymorph in this dataset: 16 meV per atom
- E: -44.04 eV/atom

***

Record 6
TaMo7: single point on PBEsol structure, meta-GGA SCAN.

Structure (POSCAR):
```
TaMo7
1.0
5.214 0.000 0.001
-0.472 5.195 -0.006
-0.472 -2.429 4.592
Mo Ta
7 1
direct
0.751 0.626 0.122 Mo
0.003 0.750 0.750 Mo
0.249 0.878 0.374 Mo
0.500 0.000 0.000 Mo
0.751 0.122 0.626 Mo
0.997 0.250 0.250 Mo
0.249 0.374 0.878 Mo
0.500 0.500 0.500 Ta
```

- D(E_F): 3.40 states/eV per cell
- Volume: 15.5 Å³ per atom
- Energy above the most stable polymorph in this dataset: 3 meV per atom
- E: -38.92 eV/atom

***

Record 7
Ta2Mo: single point on PBEsol structure, meta-GGA SCAN.

Structure (POSCAR):
```
Ta2Mo
1.0
3.133 0.000 0.000
0.000 4.324 0.000
0.000 0.000 4.324
Mo Ta
1 2
direct
0.000 0.000 0.000 Mo
0.500 0.000 0.500 Ta
0.500 0.500 0.000 Ta
```

- D(E_F): 2.99 states/eV per cell
- Volume: 19.5 Å³ per atom
- Energy above the most stable polymorph in this dataset: 855 meV per atom
- E: -55.33 eV/atom

***

Record 8
Ta2Mo: single point on PBEsol structure, meta-GGA SCAN.

Structure (POSCAR):
```
Ta2Mo
1.0
-0.106 -2.142 2.383
-1.309 -2.147 -1.989
8.900 -3.159 -2.446
Mo Ta
2 4
direct
0.000 0.000 0.835 Mo
0.000 0.000 0.165 Mo
0.500 0.500 0.000 Ta
0.500 0.500 0.324 Ta
0.000 0.000 0.500 Ta
0.500 0.500 0.676 Ta
```

- D(E_F): 5.49 states/eV per cell
- Volume: 16.7 Å³ per atom
- Energy above the most stable polymorph in this dataset: 19 meV per atom
- E: -56.16 eV/atom

***

Among the records above, which one has the highest D(E_F)?
Ta3Mo